## Pr3Cd3Ga2Pd (GGA-PBE)

Data for Pr3Cd3Ga2Pd after structural relaxation.

```
data_Pr3Cd3Ga2Pd
_cell_length_a 7.496
_cell_length_b 7.496
_cell_length_c 4.486
_cell_angle_alpha 90.00
_cell_angle_beta 90.00
_cell_angle_gamma 120.00
_space_group_name_H-M_alt 'P 1'
_space_group_IT_number 1
loop_
_space_group_symop_operation_xyz
'x,y,z'
loop_
_atom_site_label
_atom_site_type_symbol
_atom_site_fract_x
_atom_site_fract_y
_atom_site_fract_z
Cd1 Cd 0.242 0.000 0.000
Cd2 Cd 0.000 0.242 0.000
Cd3 Cd 0.758 0.758 0.000
Ga1 Ga 0.667 0.333 0.000
Ga2 Ga 0.333 0.667 0.000
Pd1 Pd 0.000 0.000 0.500
Pr1 Pr 0.590 0.000 0.500
Pr2 Pr 0.410 0.410 0.500
Pr3 Pr 0.000 0.590 0.500
```

=====

## Sm3Cd3Ga2Pd (GGA-PBE)

Data for Sm3Cd3Ga2Pd after structural relaxation.

```
data_Sm3Cd3Ga2Pd
_cell_length_a 7.545
_cell_length_b 7.545
_cell_length_c 4.214
_cell_angle_alpha 90.00
_cell_angle_beta 90.00
_cell_angle_gamma 120.00
_space_group_name_H-M_alt 'P 1'
_space_group_IT_number 1
loop_
_space_group_symop_operation_xyz
'x,y,z'
loop_
_atom_site_label
_atom_site_type_symbol
_atom_site_fract_x
_atom_site_fract_y
_atom_site_fract_z
Cd1 Cd 0.749 0.000 0.000
Cd2 Cd 0.251 0.251 0.000
Cd3 Cd 0.000 0.749 0.000
Ga1 Ga 0.667 0.333 0.000
Ga2 Ga 0.333 0.667 0.000
Pd1 Pd 0.000 0.000 0.500
Sm1 Sm 0.406 0.000 0.500
Sm2 Sm 0.000 0.406 0.500
Sm3 Sm 0.594 0.594 0.500
```

=====

The spin magnetization results, record by record, are as follows: 0.000, 0.000 μB per atom.
The VASP energy results, record by record, are as follows: -3.706, -3.696 eV/atom.